# 1
Here is a geometry-optimized LiZn3Ni3 structure from Alexandria via LeMat-Bulk. Energies are from PBE.

For the raw total energy, the calculation gives -3.3980 eV/atom. The value obtained for the density is 6.82 g/cm³. The volume is 13.187 Å³ per atom. As for the energy relative to the elements: -101 meV per atom. The total magnetization comes out at 0.00 μB per atom.

The space group is Cmmm (No. 65) and the conventional cell measures 8.091, 8.529 and 5.351 Å, with angles of 90.00, 90.00 and 90.00 degrees. Symmetry generates all atoms from Li at (0.170, 0.000, 0.000), Zn at (0.000, 0.500, 0.261), Zn at (0.250, 0.250, 0.253), Ni at (0.000, 0.246, 0.500), Ni at (0.000, 0.264, 0.000) and Ni at (0.157, 0.000, 0.500).



# 2
Here is a geometry-optimized AgHgBF4 structure from Alexandria via LeMat-Bulk. Energies are from PBE.

For the raw total energy, the calculation gives -4.4385 eV/atom. The value obtained for the density is 5.42 g/cm³. The volume is 17.291 Å³ per atom. Its uncorrected formation energy is -1965 meV/atom. The total magnetization comes out at 0.00 μB per atom.

The space group is C2/m (No. 12) and the conventional cell measures 10.141, 7.382 and 6.764 Å, with angles of 90.00, 107.04 and 90.00 degrees. Symmetry generates all atoms from Ag at (0.223, 0.000, 0.123), Hg at (0.026, 0.000, 0.731), B at (0.127, 0.500, 0.272), F at (0.014, 0.500, 0.740), F at (0.160, 0.344, 0.171) and F at (0.209, 0.500, 0.481).



# 3
Here is a geometry-optimized NdPa6N12 structure from Alexandria via LeMat-Bulk. Energies are from PBE.

For the raw total energy, the calculation gives -9.9360 eV/atom. The value obtained for the density is 9.86 g/cm³. The volume is 15.058 Å³ per atom. Its uncorrected formation energy is -1428 meV/atom. The total magnetization comes out at 0.00 μB per atom.

The space group is R-3 (No. 148, hexagonal axes) and the conventional cell measures 10.2916, 10.2916 and 9.3575 Å, with angles of 90.00, 90.00 and 120.00 degrees. Symmetry generates all atoms from Nd at (0.0000, 0.0000, 0.0000), Pa at (0.0478, 0.7934, 0.6561), N at (0.0366, 0.8151, 0.3995) and N at (0.0416, 0.8101, 0.8953).



# 4
Here is a geometry-optimized AgAsS2Cl structure from Alexandria via LeMat-Bulk. Energies are from PBE.

For the raw total energy, the calculation gives -2.7929 eV/atom. The value obtained for the density is 4.17 g/cm³. The volume is 22.500 Å³ per atom. Its uncorrected formation energy is 728 meV/atom. The total magnetization comes out at 0.00 μB per atom. The calculation puts the distance to the lowest polymorph of the same formula at 432 meV per atom.

The space group is P4/mmm (No. 123) and the conventional cell measures 4.884, 4.884 and 4.716 Å, with angles of 90.00, 90.00 and 90.00 degrees. Symmetry generates all atoms from Ag at (0.000, 0.000, 0.000), As at (0.500, 0.500, 0.500), S at (0.000, 0.500, 0.000) and Cl at (0.000, 0.000, 0.500).



# 5
Here is a geometry-optimized AcGdIn structure from Alexandria via LeMat-Bulk. Energies are from PBE.

For the raw total energy, the calculation gives -7.2423 eV/atom. The value obtained for the density is 8.15 g/cm³. The volume is 33.880 Å³ per atom. As for the energy relative to the elements: -266 meV per atom. The total magnetization comes out at 2.69 μB per atom. The calculation puts the distance to the lowest polymorph of the same formula at 0 meV per atom.

The space group is I4mm (No. 107) and the conventional cell measures 3.965, 3.965 and 12.933 Å, with angles of 90.00, 90.00 and 90.00 degrees. Symmetry generates all atoms from Ac at (0.000, 0.000, 0.000), Gd at (0.000, 0.000, 0.699) and In at (0.000, 0.000, 0.328).



# 6
Here is a geometry-optimized VTe3Pt structure from Alexandria via LeMat-Bulk. Energies are from PBE.

For the raw total energy, the calculation gives -4.2639 eV/atom. The value obtained for the density is 7.01 g/cm³. The volume is 29.772 Å³ per atom. Its uncorrected formation energy is 653 meV/atom. The total magnetization comes out at 0.56 μB per atom. The calculation puts the distance to the lowest polymorph of the same formula at 27 meV per atom.

The space group is Pm-3m (No. 221) and the conventional cell measures 5.300, 5.300 and 5.300 Å, with angles of 90.00, 90.00 and 90.00 degrees. Symmetry generates all atoms from V at (0.000, 0.000, 0.000), Te at (0.000, 0.500, 0.500) and Pt at (0.500, 0.500, 0.500).



What is the formula in the third record? NdPa6N12